Record 1
# ScAlRe, optimized geometry, DFT GGA-PBE
data_ScAlRe
_chemical_formula_sum 'Sc1 Al1 Re1'
_cell_length_a 5.156
_cell_length_b 5.156
_cell_length_c 5.156
_cell_angle_alpha 142.36
_cell_angle_beta 142.36
_cell_angle_gamma 54.29
_space_group_name_H-M_alt 'P 1'
_space_group_IT_number 1
loop_
_space_group_symop_operation_xyz
'x,y,z'
loop_
_atom_site_label
_atom_site_fract_x
_atom_site_fract_y
_atom_site_fract_z
_atom_site_occupancy
Sc1 0.000 0.000 0.000 1
Al1 0.694 0.694 0.000 1
Re1 0.328 0.328 0.000 1
# Space-group type: I4mm
# Relative energy among the computed polymorphs: 211 meV/atom
# Fermi-level density of states: 1.127 states/eV/atom
# Energy of formation: -0.225 eV/atom
# Spin magnetization: 0.000 μB per atom
# Uncorrected energy: -23.20 eV per cell

=====

Record 2
# NaPaTe3Au, optimized geometry, DFT GGA-PBE
data_NaPaTe3Au
_chemical_formula_sum 'Na2 Pa2 Te6 Au2'
_cell_length_a 8.537
_cell_length_b 4.328
_cell_length_c 10.544
_cell_angle_alpha 90.00
_cell_angle_beta 107.24
_cell_angle_gamma 90.00
_space_group_name_H-M_alt 'P 1'
_space_group_IT_number 1
loop_
_space_group_symop_operation_xyz
'x,y,z'
loop_
_atom_site_label
_atom_site_fract_x
_atom_site_fract_y
_atom_site_fract_z
_atom_site_occupancy
Na1 0.229 0.250 0.289 1
Na2 0.771 0.750 0.711 1
Pa1 0.315 0.750 0.829 1
Pa2 0.685 0.250 0.171 1
Te1 0.067 0.250 0.850 1
Te2 0.278 0.750 0.534 1
Te3 0.415 0.750 0.140 1
Te4 0.585 0.250 0.860 1
Te5 0.722 0.250 0.466 1
Te6 0.933 0.750 0.150 1
Au1 0.099 0.250 0.596 1
Au2 0.901 0.750 0.404 1
# Space-group type: P2_1/m
# Energy relative to the elements, uncorrected: -4.2 eV per formula unit
# Fermi-level density of states: 0.897 states/eV/atom
# Spin magnetization: 0.168 μB per atom
# Uncorrected energy: -55.50 eV per cell

=====

Record 3
# Hf2MgScO, optimized geometry, DFT GGA-PBE
data_Hf2MgScO
_chemical_formula_sum 'Hf2 Mg1 Sc1 O1'
_cell_length_a 4.447
_cell_length_b 4.447
_cell_length_c 4.514
_cell_angle_alpha 90.00
_cell_angle_beta 90.00
_cell_angle_gamma 90.00
_space_group_name_H-M_alt 'P 1'
_space_group_IT_number 1
loop_
_space_group_symop_operation_xyz
'x,y,z'
loop_
_atom_site_label
_atom_site_fract_x
_atom_site_fract_y
_atom_site_fract_z
_atom_site_occupancy
Hf1 0.000 0.500 0.000 1
Hf2 0.500 0.000 0.000 1
Mg1 0.000 0.000 0.500 1
Sc1 0.500 0.500 0.500 1
O1 0.500 0.500 0.000 1
# Space-group type: P4/mmm
# Energy relative to the elements, uncorrected: -5.1 eV per formula unit
# Fermi-level density of states: 0.496 states/eV/atom
# Spin magnetization: 0.000 μB per atom
# Uncorrected energy: -37.87 eV per cell

=====

Record 4
# NaSc3Ir, optimized geometry, DFT GGA-PBE
data_NaSc3Ir
_chemical_formula_sum 'Na1 Sc3 Ir1'
_cell_length_a 5.136
_cell_length_b 5.136
_cell_length_c 5.136
_cell_angle_alpha 90.00
_cell_angle_beta 90.00
_cell_angle_gamma 90.00
_space_group_name_H-M_alt 'P 1'
_space_group_IT_number 1
loop_
_space_group_symop_operation_xyz
'x,y,z'
loop_
_atom_site_label
_atom_site_fract_x
_atom_site_fract_y
_atom_site_fract_z
_atom_site_occupancy
Na1 0.000 0.000 0.000 1
Sc1 0.000 0.500 0.500 1
Sc2 0.500 0.000 0.500 1
Sc3 0.500 0.500 0.000 1
Ir1 0.500 0.500 0.500 1
# Space-group type: Pm-3m
# Relative energy among the computed polymorphs: 0 meV/atom
# Fermi-level density of states: 0.662 states/eV/atom
# Energy of formation: -0.209 eV/atom
# Spin magnetization: 0.000 μB per atom
# Uncorrected energy: -30.22 eV per cell

=====

Record 5
# Pr10Ga3Ge3, optimized geometry, DFT GGA-PBE
data_Pr10Ga3Ge3
_chemical_formula_sum 'Pr10 Ga3 Ge3'
_cell_length_a 8.893
_cell_length_b 8.893
_cell_length_c 6.923
_cell_angle_alpha 90.00
_cell_angle_beta 90.00
_cell_angle_gamma 120.00
_space_group_name_H-M_alt 'P 1'
_space_group_IT_number 1
loop_
_space_group_symop_operation_xyz
'x,y,z'
loop_
_atom_site_label
_atom_site_fract_x
_atom_site_fract_y
_atom_site_fract_z
_atom_site_occupancy
Pr1 0.000 0.241 0.000 1
Pr2 0.000 0.753 0.500 1
Pr3 0.241 0.000 0.000 1
Pr4 0.247 0.247 0.500 1
Pr5 0.333 0.667 0.252 1
Pr6 0.333 0.667 0.748 1
Pr7 0.667 0.333 0.252 1
Pr8 0.667 0.333 0.748 1
Pr9 0.753 0.000 0.500 1
Pr10 0.759 0.759 0.000 1
Ga1 0.000 0.597 0.000 1
Ga2 0.403 0.403 0.000 1
Ga3 0.597 0.000 0.000 1
Ge1 0.000 0.394 0.500 1
Ge2 0.394 0.000 0.500 1
Ge3 0.606 0.606 0.500 1
# Space-group type: P-62m
# Fermi-level density of states: 1.071 states/eV/atom
# Energy of formation: -0.537 eV/atom
# Spin magnetization: 0.000 μB per atom
# Uncorrected energy: -79.33 eV per cell

=====

Record 6
# AcNdZn2, optimized geometry, DFT GGA-PBE
data_AcNdZn2
_chemical_formula_sum 'Ac1 Nd1 Zn2'
_cell_length_a 9.495
_cell_length_b 9.495
_cell_length_c 9.495
_cell_angle_alpha 23.60
_cell_angle_beta 23.60
_cell_angle_gamma 23.60
_space_group_name_H-M_alt 'P 1'
_space_group_IT_number 1
loop_
_space_group_symop_operation_xyz
'x,y,z'
loop_
_atom_site_label
_atom_site_fract_x
_atom_site_fract_y
_atom_site_fract_z
_atom_site_occupancy
Ac1 0.000 0.000 0.000 1
Nd1 0.500 0.500 0.500 1
Zn1 0.245 0.245 0.245 1
Zn2 0.755 0.755 0.755 1
# Space-group type: R-3m
# Fermi-level density of states: 1.123 states/eV/atom
# Energy of formation: -0.059 eV/atom
# Spin magnetization: 0.000 μB per atom
# Uncorrected energy: -11.66 eV per cell

=====

Record 7
# Ta2AgRh, optimized geometry, DFT GGA-PBE
data_Ta2AgRh
_chemical_formula_sum 'Ta2 Ag1 Rh1'
_cell_length_a 5.023
_cell_length_b 5.023
_cell_length_c 5.023
_cell_angle_alpha 134.12
_cell_angle_beta 131.68
_cell_angle_gamma 68.83
_space_group_name_H-M_alt 'P 1'
_space_group_IT_number 1
loop_
_space_group_symop_operation_xyz
'x,y,z'
loop_
_atom_site_label
_atom_site_fract_x
_atom_site_fract_y
_atom_site_fract_z
_atom_site_occupancy
Ta1 0.246 0.246 0.000 1
Ta2 0.754 0.754 0.000 1
Ag1 0.500 0.000 0.500 1
Rh1 0.000 0.500 0.500 1
# Space-group type: Immm
# Fermi-level density of states: 0.928 states/eV/atom
# Energy of formation: 0.008 eV/atom
# Spin magnetization: 0.000 μB per atom
# Uncorrected energy: -33.88 eV per cell

=====

Record 8
# SrInTc2Te, optimized geometry, DFT GGA-PBE
data_SrInTc2Te
_chemical_formula_sum 'Sr1 In1 Tc2 Te1'
_cell_length_a 5.007
_cell_length_b 5.007
_cell_length_c 5.905
_cell_angle_alpha 90.00
_cell_angle_beta 90.00
_cell_angle_gamma 90.00
_space_group_name_H-M_alt 'P 1'
_space_group_IT_number 1
loop_
_space_group_symop_operation_xyz
'x,y,z'
loop_
_atom_site_label
_atom_site_fract_x
_atom_site_fract_y
_atom_site_fract_z
_atom_site_occupancy
Sr1 0.000 0.000 0.000 1
In1 0.500 0.500 0.000 1
Tc1 0.000 0.500 0.500 1
Tc2 0.500 0.000 0.500 1
Te1 0.000 0.000 0.500 1
# Space-group type: P4/mmm
# Energy relative to the elements, uncorrected: 5.0 eV per formula unit
# Fermi-level density of states: 1.001 states/eV/atom
# Spin magnetization: 0.508 μB per atom
# Uncorrected energy: -23.29 eV per cell